## A
A geometry-optimized LiCu2Ir2 structure, computed with PBE.

abc: 7.4727 7.4727 2.6439
angles: 90.00 90.00 90.00
Fractional positions:
Ir  0.3758  0.8758  0.0000
Ir  0.8758  0.6242  0.0000
Ir  0.6242  0.1242  0.0000
Ir  0.1242  0.3758  0.0000
Cu  0.8254  0.3254  0.5000
Cu  0.6746  0.8254  0.5000
Cu  0.1746  0.6746  0.5000
Cu  0.3254  0.1746  0.5000
Li  0.5000  0.5000  0.0000
Li  0.0000  0.0000  0.0000

Computed properties:
SG ... P4/mbm, No. 127
Calculated volume ... 14.76 A^3/atom

---

## B
A geometry-optimized LiCu2Ir2 structure, computed with PBE.

abc: 4.3802 4.3802 5.4125
angles: 66.13 66.13 90.00
Fractional positions:
Ir  0.6313  0.6313  0.7374
Ir  0.3687  0.3687  0.2626
Cu  0.7500  0.2500  0.5000
Cu  0.2500  0.7500  0.5000
Li  0.0000  0.0000  0.0000

Computed properties:
SG ... I4/mmm, No. 139
Calculated volume ... 17.03 A^3/atom

---

Most stable = A

---

## A
A geometry-optimized Li3CuIr structure, computed with PBE.

abc: 4.5302 4.5302 8.7558
angles: 75.01 75.01 60.00
Fractional positions:
Li  0.7493  0.0945  0.7458
Li  0.4104  0.7493  0.7458
Li  0.9055  0.5896  0.2542
Li  0.2507  0.9055  0.2542
Li  0.5896  0.2507  0.2542
Li  0.0945  0.4104  0.7458
Ir  0.1669  0.1669  0.4992
Ir  0.8331  0.8331  0.5008
Cu  0.3330  0.3330  0.0010
Cu  0.6670  0.6670  0.9990

Computed properties:
SG ... R-3, No. 148
Calculated volume ... 14.85 A^3/atom

---

## B
A geometry-optimized Li3CuIr structure, computed with PBE.

abc: 4.2463 4.2463 4.2463
angles: 90.00 90.00 90.00
Fractional positions:
Li  0.0000  0.5000  0.0000
Li  0.5000  0.0000  0.0000
Li  0.0000  0.0000  0.5000
Cu  0.0000  0.0000  0.0000
Ir  0.5000  0.5000  0.5000

Computed properties:
SG ... Pm-3m, No. 221
Calculated volume ... 15.31 A^3/atom

---

Most stable = A

---

## A
A geometry-optimized Li4CuIr structure, computed with PBE.

abc: 4.7130 4.7130 4.7130
angles: 60.00 60.00 60.00
Fractional positions:
Li  0.8793  0.3736  0.3736
Li  0.3736  0.8793  0.3736
Li  0.3736  0.3736  0.8793
Li  0.3736  0.3736  0.3736
Ir  0.0000  0.0000  0.0000
Cu  0.7500  0.7500  0.7500

Computed properties:
SG ... F-43m, No. 216
Calculated volume ... 12.34 A^3/atom

---

## B
A geometry-optimized Li4CuIr structure, computed with PBE.

abc: 4.5809 4.6069 4.7595
angles: 77.63 76.90 117.40
Fractional positions:
Li  0.1595  0.3440  0.9998
Li  0.6617  0.8413  0.5005
Li  0.3354  0.1642  0.5017
Li  0.8371  0.6620  0.0024
Ir  0.9980  0.5024  0.5015
Cu  0.4971  0.0024  0.0019

Computed properties:
SG ... P1, No. 1
Calculated volume ... 13.46 A^3/atom

---

## C
A geometry-optimized Li4CuIr structure, computed with PBE.

abc: 5.6122 5.6122 4.7497
angles: 126.21 126.21 90.00
Fractional positions:
Li  0.6269  0.7324  0.7532
Li  0.9791  0.3731  0.2468
Li  0.2676  0.8736  0.2468
Li  0.1264  0.0209  0.7532
Cu  0.7500  0.2500  0.5000
Ir  0.5000  0.5000  0.0000

Computed properties:
SG ... I-4, No. 82
Calculated volume ... 13.70 A^3/atom

---

Most stable = B

---

## A
A geometry-optimized Li2Cu2Ir structure, computed with PBE.

abc: 6.9811 6.9811 2.5683
angles: 90.00 90.00 90.00
Fractional positions:
Li  0.8245  0.3245  0.5000
Li  0.6755  0.8245  0.5000
Li  0.1755  0.6755  0.5000
Li  0.3245  0.1755  0.5000
Cu  0.8762  0.6238  0.0000
Cu  0.1238  0.3762  0.0000
Cu  0.3762  0.8762  0.0000
Cu  0.6238  0.1238  0.0000
Ir  0.0000  0.0000  0.0000
Ir  0.5000  0.5000  0.0000

Computed properties:
SG ... P4/mbm, No. 127
Calculated volume ... 12.52 A^3/atom

---

## B
A geometry-optimized Li2Cu2Ir structure, computed with PBE.

abc: 3.3654 3.3654 6.3389
angles: 74.61 74.61 90.00
Fractional positions:
Li  0.2500  0.7500  0.5000
Li  0.7500  0.2500  0.5000
Ir  0.0000  0.0000  0.0000
Cu  0.5972  0.5972  0.8056
Cu  0.4028  0.4028  0.1944

Computed properties:
SG ... I4/mmm, No. 139
Calculated volume ... 13.31 A^3/atom

---

Most stable = A

---

## A
A geometry-optimized LiCu4Ir structure, computed with PBE.

abc: 4.1922 6.5391 8.6959
angles: 122.05 118.83 50.09
Fractional positions:
Li  0.3735  0.6235  0.2471
Li  0.6265  0.3765  0.7529
Cu  0.9535  0.7149  0.9177
Cu  0.2937  0.0393  0.5830
Cu  0.7063  0.9607  0.4170
Cu  0.7892  0.5437  0.5830
Cu  0.0465  0.2851  0.0823
Cu  0.4642  0.2028  0.9177
Cu  0.2108  0.4563  0.4170
Cu  0.5358  0.7972  0.0823
Ir  0.8786  0.1286  0.2571
Ir  0.1214  0.8714  0.7429

Computed properties:
SG ... Cmcm, No. 63
Calculated volume ... 12.60 A^3/atom

---

## B
A geometry-optimized LiCu4Ir structure, computed with PBE.

abc: 4.7754 4.7754 4.7754
angles: 60.00 60.00 60.00
Fractional positions:
Ir  0.7500  0.7500  0.7500
Li  0.0000  0.0000  0.0000
Cu  0.3750  0.3750  0.3750
Cu  0.8750  0.3750  0.3750
Cu  0.3750  0.8750  0.3750
Cu  0.3750  0.3750  0.8750

Computed properties:
SG ... F-43m, No. 216
Calculated volume ... 12.83 A^3/atom

---

Most stable = A

---

## A
A geometry-optimized LiZnCuIr structure, computed with PBE.

abc: 4.2222 4.2222 4.2222
angles: 60.00 60.00 60.00
Fractional positions:
Zn  0.7500  0.7500  0.7500
Li  0.5000  0.5000  0.5000
Cu  0.2500  0.2500  0.2500
Ir  0.0000  0.0000  0.0000

Computed properties:
SG ... F-43m, No. 216
Calculated volume ... 13.31 A^3/atom

---

## B
A geometry-optimized LiZnCuIr structure, computed with PBE.

abc: 2.9657 4.1871 4.2828
angles: 90.00 90.00 90.00
Fractional positions:
Zn  0.0000  0.5000  0.5000
Cu  0.0000  0.0000  0.0000
Li  0.5000  0.5000  0.0000
Ir  0.5000  0.0000  0.5000

Computed properties:
SG ... Pmmm, No. 47
Calculated volume ... 13.30 A^3/atom

---

Most stable = B